1.
Here is a relaxed K2YAl crystal from the Alexandria database. Energies are from GGA-PBE.

Geometry as CIF:
```
data_K2YAl
_cell_length_a 9.846
_cell_length_b 3.741
_cell_length_c 9.834
_cell_angle_alpha 90.00
_cell_angle_beta 95.30
_cell_angle_gamma 90.00
_symmetry_space_group_name_H-M 'C 1 m 1'
_symmetry_Int_Tables_number 8
loop_
_symmetry_equiv_pos_as_xyz
'x,y,z'
'x,-y,z'
'x+1/2,y+1/2,z'
'x+1/2,-y+1/2,z'
loop_
_atom_site_label
_atom_site_type_symbol
_atom_site_fract_x
_atom_site_fract_y
_atom_site_fract_z
_atom_site_occupancy
K1 K 0.000 0.000 0.000 1
K2 K 0.218 0.000 0.628 1
Y1 Y 0.449 0.000 0.346 1
Al1 Al 0.226 0.500 0.243 1
```



2.
Here is a relaxed K2YAl crystal from the Alexandria database. Energies are from GGA-PBE.

Geometry as CIF:
```
data_K2YAl
_cell_length_a 3.5832
_cell_length_b 3.5832
_cell_length_c 39.6544
_cell_angle_alpha 90.00
_cell_angle_beta 90.00
_cell_angle_gamma 120.00
_symmetry_space_group_name_H-M 'R -3 m'
_symmetry_Int_Tables_number 166
_symmetry_space_group_name_Hall '-R 3 2"'
loop_
_atom_site_label
_atom_site_type_symbol
_atom_site_fract_x
_atom_site_fract_y
_atom_site_fract_z
_atom_site_occupancy
K1 K 0.0000 0.0000 0.2412 1
Y1 Y 0.0000 0.0000 0.0000 1
Al1 Al 0.0000 0.0000 0.5000 1
```



3.
Here is a relaxed KYAl3 crystal from the Alexandria database. Energies are from GGA-PBE.

Geometry as CIF:
```
data_KYAl3
_cell_length_a 5.244
_cell_length_b 5.244
_cell_length_c 5.244
_cell_angle_alpha 90.00
_cell_angle_beta 90.00
_cell_angle_gamma 90.00
_symmetry_space_group_name_H-M 'P m -3 m'
_symmetry_Int_Tables_number 221
_symmetry_space_group_name_Hall '-P 4 2 3'
loop_
_atom_site_label
_atom_site_type_symbol
_atom_site_fract_x
_atom_site_fract_y
_atom_site_fract_z
_atom_site_occupancy
K1 K 0.000 0.000 0.000 1
Y1 Y 0.500 0.500 0.500 1
Al1 Al 0.000 0.000 0.500 1
```



4.
Here is a relaxed K2YAl crystal from the Alexandria database. Energies are from GGA-PBE.

Geometry as CIF:
```
data_K2YAl
_cell_length_a 8.163
_cell_length_b 8.163
_cell_length_c 8.163
_cell_angle_alpha 90.00
_cell_angle_beta 90.00
_cell_angle_gamma 90.00
_symmetry_space_group_name_H-M 'F -4 3 m'
_symmetry_Int_Tables_number 216
_symmetry_space_group_name_Hall 'F -4 2 3'
loop_
_atom_site_label
_atom_site_type_symbol
_atom_site_fract_x
_atom_site_fract_y
_atom_site_fract_z
_atom_site_occupancy
K1 K 0.000 0.000 0.000 1
K2 K 0.250 0.250 0.250 1
Y1 Y 0.250 0.250 0.750 1
Al1 Al 0.000 0.000 0.500 1
```



5.
Here is a relaxed KY3Al crystal from the Alexandria database. Energies are from GGA-PBE.

Geometry as CIF:
```
data_KY3Al
_cell_length_a 5.348
_cell_length_b 5.348
_cell_length_c 5.348
_cell_angle_alpha 90.00
_cell_angle_beta 90.00
_cell_angle_gamma 90.00
_symmetry_space_group_name_H-M 'P m -3 m'
_symmetry_Int_Tables_number 221
_symmetry_space_group_name_Hall '-P 4 2 3'
loop_
_atom_site_label
_atom_site_type_symbol
_atom_site_fract_x
_atom_site_fract_y
_atom_site_fract_z
_atom_site_occupancy
K1 K 0.000 0.000 0.000 1
Y1 Y 0.000 0.000 0.500 1
Al1 Al 0.500 0.500 0.500 1
```



6.
Here is a relaxed KY3Al crystal from the Alexandria database. Energies are from GGA-PBE.

Geometry as CIF:
```
data_KY3Al
_cell_length_a 5.757
_cell_length_b 5.757
_cell_length_c 5.757
_cell_angle_alpha 90.00
_cell_angle_beta 90.00
_cell_angle_gamma 90.00
_symmetry_space_group_name_H-M 'P m -3 m'
_symmetry_Int_Tables_number 221
_symmetry_space_group_name_Hall '-P 4 2 3'
loop_
_atom_site_label
_atom_site_type_symbol
_atom_site_fract_x
_atom_site_fract_y
_atom_site_fract_z
_atom_site_occupancy
K1 K 0.000 0.000 0.000 1
Y1 Y 0.000 0.500 0.500 1
Al1 Al 0.500 0.500 0.500 1
```



7.
Here is a relaxed KAl2Zn crystal from the Alexandria database. Energies are from GGA-PBE.

Geometry as CIF:
```
data_KAl2Zn
_cell_length_a 6.135
_cell_length_b 10.994
_cell_length_c 2.834
_cell_angle_alpha 90.00
_cell_angle_beta 109.42
_cell_angle_gamma 90.00
_symmetry_space_group_name_H-M 'C 1 2/m 1'
_symmetry_Int_Tables_number 12
loop_
_symmetry_equiv_pos_as_xyz
'x,y,z'
'-x,-y,-z'
'-x,y,-z'
'x,-y,z'
'x+1/2,y+1/2,z'
'-x+1/2,-y+1/2,-z'
'-x+1/2,y+1/2,-z'
'x+1/2,-y+1/2,z'
loop_
_atom_site_label
_atom_site_type_symbol
_atom_site_fract_x
_atom_site_fract_y
_atom_site_fract_z
_atom_site_occupancy
K1 K 0.000 0.000 0.000 1
Al1 Al 0.250 0.250 0.500 1
Zn1 Zn 0.000 0.500 0.000 1
```



8.
Here is a relaxed K2AlZn crystal from the Alexandria database. Energies are from GGA-PBE.

Geometry as CIF:
```
data_K2AlZn
_cell_length_a 12.821
_cell_length_b 12.821
_cell_length_c 4.783
_cell_angle_alpha 90.00
_cell_angle_beta 90.00
_cell_angle_gamma 90.00
_symmetry_space_group_name_H-M 'I -4 2 d'
_symmetry_Int_Tables_number 122
_symmetry_space_group_name_Hall 'I -4 2bw'
loop_
_atom_site_label
_atom_site_type_symbol
_atom_site_fract_x
_atom_site_fract_y
_atom_site_fract_z
_atom_site_occupancy
K1 K 0.063 0.250 0.125 1
Al1 Al 0.000 0.000 0.500 1
Zn1 Zn 0.000 0.000 0.000 1
```



Number 1: DFT total energy -22.36 eV for the cell shown, ΔH_f (0 K) 0.3049 eV per atom. Number 2: DFT total energy -30.96 eV for the cell shown, ΔH_f (0 K) 0.5204 eV per atom. Number 3: DFT total energy -12.86 eV for the cell shown, ΔH_f (0 K) 1.1863 eV per atom. Number 4: DFT total energy -42.57 eV for the cell shown, ΔH_f (0 K) 0.4396 eV per atom. Number 5: DFT total energy -17.89 eV for the cell shown, ΔH_f (0 K) 1.2675 eV per atom. Number 6: DFT total energy -22.36 eV for the cell shown, ΔH_f (0 K) 0.3743 eV per atom. Number 7: DFT total energy -16.41 eV for the cell shown, ΔH_f (0 K) 0.4132 eV per atom. Number 8: DFT total energy -25.18 eV for the cell shown, ΔH_f (0 K) 0.2292 eV per atom.